# 1
TiNi2PH after structural relaxation. Source: the Alexandria database, functional PBE.

abc: 3.5507 3.5507 4.0476
angles: 90.00 90.00 90.00
Fractional coordinates of all 5 atoms:
Ti  0.0000  0.0000  0.0000
Ni  0.0000  0.5000  0.5000
Ni  0.5000  0.0000  0.5000
P  0.5000  0.5000  0.0000
H  0.0000  0.0000  0.5000

Results
As for the excess energy over the best structure of this formula in the dataset: 0.0 kJ per mole of atoms. The crystal system is tetragonal. As for the total energy: -6.1233 eV/atom. The calculation puts the density of states at the Fermi level at 0.348 states/eV/atom.


# 2
TmNi2PH after structural relaxation. Source: the Alexandria database, functional PBE.

abc: 5.2696 5.2696 6.5838
angles: 90.00 90.00 139.06
Fractional coordinates of all 10 atoms:
Tm  0.0589  0.9411  0.7500
Tm  0.9411  0.0589  0.2500
Ni  0.3358  0.6642  0.5584
Ni  0.3358  0.6642  0.9416
Ni  0.6642  0.3358  0.0584
Ni  0.6642  0.3358  0.4416
P  0.2242  0.7758  0.2500
P  0.7758  0.2242  0.7500
H  0.5000  0.5000  0.0000
H  0.5000  0.5000  0.5000

Results
The crystal system is orthorhombic. As for the total energy: -5.7889 eV/atom. The calculation puts the density of states at the Fermi level at 0.417 states/eV/atom.


# 3
TmNiPH after structural relaxation. Source: the Alexandria database, functional PBE.

abc: 3.7907 3.7907 7.0260
angles: 90.00 90.00 90.00
Fractional coordinates of all 8 atoms:
Tm  0.2500  0.2500  0.1668
Tm  0.7500  0.7500  0.8332
Ni  0.2500  0.7500  0.5000
Ni  0.7500  0.2500  0.5000
P  0.2500  0.2500  0.6796
P  0.7500  0.7500  0.3204
H  0.2500  0.7500  0.0000
H  0.7500  0.2500  0.0000

Results
The crystal system is tetragonal. As for the total energy: -5.6986 eV/atom. The calculation puts the density of states at the Fermi level at 0.823 states/eV/atom.


# 4
U3Ni2P2H4 after structural relaxation. Source: the Alexandria database, functional PBE.

abc: 9.8384 9.8384 9.8384
angles: 157.63 157.63 31.84
Fractional coordinates of all 11 atoms:
U  0.0000  0.0000  0.0000
U  0.1641  0.1641  0.0000
U  0.8359  0.8359  0.0000
Ni  0.4314  0.4314  0.0000
Ni  0.5686  0.5686  0.0000
P  0.3084  0.3084  0.0000
P  0.6916  0.6916  0.0000
H  0.0769  0.5769  0.5000
H  0.4231  0.9231  0.5000
H  0.5769  0.0769  0.5000
H  0.9231  0.4231  0.5000

Results
The crystal system is tetragonal. As for the total energy: -6.7594 eV/atom. The calculation puts the density of states at the Fermi level at 1.343 states/eV/atom.


# 5
NiPHW2 after structural relaxation. Source: the Alexandria database, functional PBE.

abc: 4.7338 4.7338 2.8840
angles: 90.00 90.00 90.00
Fractional coordinates of all 5 atoms:
Ni  0.0000  0.0000  0.0000
P  0.5000  0.5000  0.5000
H  0.5000  0.5000  0.0000
W  0.0000  0.5000  0.5000
W  0.5000  0.0000  0.5000

Results
The crystal system is tetragonal. As for the total energy: -7.3480 eV/atom. The calculation puts the density of states at the Fermi level at 0.755 states/eV/atom.


# 6
YNiPH after structural relaxation. Source: the Alexandria database, functional PBE.

abc: 3.8171 3.8171 7.2820
angles: 90.00 90.00 90.00
Fractional coordinates of all 8 atoms:
Y  0.2500  0.2500  0.1715
Y  0.7500  0.7500  0.8285
Ni  0.2500  0.7500  0.5000
Ni  0.7500  0.2500  0.5000
P  0.2500  0.2500  0.6702
P  0.7500  0.7500  0.3298
H  0.2500  0.7500  0.0000
H  0.7500  0.2500  0.0000

Results
The crystal system is tetragonal. As for the total energy: -6.2081 eV/atom. The calculation puts the density of states at the Fermi level at 0.835 states/eV/atom.


# 7
ZrNiPH after structural relaxation. Source: the Alexandria database, functional PBE.

abc: 3.5939 3.5939 7.2454
angles: 90.00 90.00 90.00
Fractional coordinates of all 8 atoms:
Zr  0.2500  0.2500  0.1705
Zr  0.7500  0.7500  0.8295
Ni  0.2500  0.7500  0.5000
Ni  0.7500  0.2500  0.5000
P  0.2500  0.2500  0.6920
P  0.7500  0.7500  0.3080
H  0.2500  0.7500  0.0000
H  0.7500  0.2500  0.0000

Results
The crystal system is tetragonal. As for the total energy: -6.5997 eV/atom. The calculation puts the density of states at the Fermi level at 0.237 states/eV/atom.


# 8
PaNi2H6 after structural relaxation. Source: the Alexandria database, functional PBE.

abc: 4.3147 4.3147 4.1439
angles: 90.00 90.00 120.00
Fractional coordinates of all 9 atoms:
Pa  0.0000  0.0000  0.0000
Ni  0.3333  0.6667  0.5000
Ni  0.6667  0.3333  0.5000
H  0.0000  0.5000  0.2289
H  0.0000  0.5000  0.7711
H  0.5000  0.0000  0.2289
H  0.5000  0.0000  0.7711
H  0.5000  0.5000  0.2289
H  0.5000  0.5000  0.7711

Results
The crystal system is hexagonal. As for the total energy: -4.8565 eV/atom. The calculation puts the density of states at the Fermi level at 0.540 states/eV/atom.


# 9
PaNiH3 after structural relaxation. Source: the Alexandria database, functional PBE.

abc: 3.5559 3.5559 3.5559
angles: 90.00 90.00 90.00
Fractional coordinates of all 5 atoms:
Pa  0.0000  0.0000  0.0000
Ni  0.5000  0.5000  0.5000
H  0.0000  0.5000  0.5000
H  0.5000  0.0000  0.5000
H  0.5000  0.5000  0.0000

Results
As for the excess energy over the best structure of this formula in the dataset: 8.6 kJ per mole of atoms. The crystal system is cubic. As for the total energy: -5.2933 eV/atom. The calculation puts the density of states at the Fermi level at 0.820 states/eV/atom.


# 10
Pa2Ni3H after structural relaxation. Source: the Alexandria database, functional PBE.

abc: 7.6784 7.5906 5.1691
angles: 71.13 69.30 39.57
Fractional coordinates of all 12 atoms:
Pa  0.2081  0.7919  0.2081
Pa  0.2500  0.2500  0.2500
Pa  0.7500  0.7500  0.7500
Pa  0.7919  0.2081  0.7919
Ni  0.1732  0.1732  0.8268
Ni  0.2251  0.5855  0.7749
Ni  0.4145  0.7749  0.5855
Ni  0.5855  0.2251  0.4145
Ni  0.7749  0.4145  0.2251
Ni  0.8268  0.8268  0.1732
H  0.3094  0.3094  0.6906
H  0.6906  0.6906  0.3094

Results
The crystal system is orthorhombic. As for the total energy: -6.9132 eV/atom. The calculation puts the density of states at the Fermi level at 0.979 states/eV/atom.


# 11
PaNiH2 after structural relaxation. Source: the Alexandria database, functional PBE.

abc: 6.1623 6.1623 4.0036
angles: 90.00 90.00 145.06
Fractional coordinates of all 8 atoms:
Pa  0.1411  0.8589  0.7500
Pa  0.8589  0.1411  0.2500
Ni  0.4283  0.5717  0.7500
Ni  0.5717  0.4283  0.2500
H  0.0537  0.9463  0.2500
H  0.2427  0.7573  0.2500
H  0.7573  0.2427  0.7500
H  0.9463  0.0537  0.7500

Results
As for the excess energy over the best structure of this formula in the dataset: 0.0 kJ per mole of atoms. The crystal system is orthorhombic. As for the total energy: -5.8911 eV/atom. The calculation puts the density of states at the Fermi level at 0.358 states/eV/atom.


# 12
PaNi2H8 after structural relaxation. Source: the Alexandria database, functional PBE.

abc: 5.7951 5.7951 5.7951
angles: 139.28 139.28 58.95
Fractional coordinates of all 11 atoms:
Pa  0.0000  0.0000  0.0000
Ni  0.2500  0.7500  0.5000
Ni  0.7500  0.2500  0.5000
H  0.1215  0.1215  0.5585
H  0.1215  0.5630  0.0000
H  0.4370  0.4370  0.5585
H  0.4370  0.8785  0.0000
H  0.5630  0.1215  0.0000
H  0.5630  0.5630  0.4415
H  0.8785  0.4370  0.0000
H  0.8785  0.8785  0.4415

Results
The crystal system is tetragonal. As for the total energy: -4.2540 eV/atom. The calculation puts the density of states at the Fermi level at 0.544 states/eV/atom.


Please write out number 4 again, unchanged.
U3Ni2P2H4 after structural relaxation. Source: the Alexandria database, functional PBE.

abc: 9.8384 9.8384 9.8384
angles: 157.63 157.63 31.84
Fractional coordinates of all 11 atoms:
U  0.0000  0.0000  0.0000
U  0.1641  0.1641  0.0000
U  0.8359  0.8359  0.0000
Ni  0.4314  0.4314  0.0000
Ni  0.5686  0.5686  0.0000
P  0.3084  0.3084  0.0000
P  0.6916  0.6916  0.0000
H  0.0769  0.5769  0.5000
H  0.4231  0.9231  0.5000
H  0.5769  0.0769  0.5000
H  0.9231  0.4231  0.5000

Results
The crystal system is tetragonal. As for the total energy: -6.7594 eV/atom. The calculation puts the density of states at the Fermi level at 1.343 states/eV/atom.